1.
# SrTmAgTe3

A geometry-optimized SrTmAgTe3 structure (PBE, OQMD).

Geometry as POSCAR:
```
SrTmAgTe3
1.0
9.783 -2.190 0.000
9.783 2.190 0.000
-1.892 0.000 8.811
Sr Tm Ag Te
2 2 2 6
Direct
0.128 0.128 0.073 Sr
0.872 0.872 0.927 Sr
0.164 0.164 0.589 Tm
0.836 0.836 0.411 Tm
0.461 0.461 0.289 Ag
0.539 0.539 0.711 Ag
0.000 0.000 0.500 Te
0.315 0.315 0.169 Te
0.325 0.325 0.639 Te
0.500 0.500 0.000 Te
0.675 0.675 0.361 Te
0.685 0.685 0.831 Te
```

Values from the calculation:
- Total magnetization: 0.00 μB/cell
- Calculated total energy: -50.72 eV for the cell shown

2.
# TcCl4

A geometry-optimized TcCl4 structure (PBE, OQMD).

Geometry as POSCAR:
```
TcCl4
1.0
6.105 -3.217 0.000
6.105 3.217 0.000
-5.398 0.000 6.226
Tc Cl
2 8
Direct
0.208 0.792 0.000 Tc
0.792 0.208 0.000 Tc
0.208 0.208 0.190 Cl
0.219 0.756 0.711 Cl
0.244 0.781 0.289 Cl
0.327 0.327 0.842 Cl
0.673 0.673 0.158 Cl
0.756 0.219 0.711 Cl
0.781 0.244 0.289 Cl
0.792 0.792 0.810 Cl
```

Values from the calculation:
- Total magnetization: 2.00 μB/cell
- Calculated total energy: -41.74 eV for the cell shown

3.
# Li2Nb2AlInIr2

A geometry-optimized Li2Nb2AlInIr2 structure (PBE, OQMD).

Geometry as POSCAR:
```
Li2Nb2AlInIr2
1.0
4.412 0.000 0.000
0.000 4.412 0.000
0.000 0.000 6.298
Li Nb Al In Ir
2 2 1 1 2
Direct
0.000 0.500 0.241 Li
0.500 0.000 0.759 Li
0.000 0.000 0.000 Nb
0.500 0.500 0.500 Nb
0.500 0.500 0.000 Al
0.000 0.000 0.500 In
0.000 0.500 0.763 Ir
0.500 0.000 0.237 Ir
```

Values from the calculation:
- Total magnetization: 0.00 μB/cell
- Calculated total energy: -52.51 eV for the cell shown

4.
# Cs2PtSeS2

A geometry-optimized Cs2PtSeS2 structure (PBE, OQMD).

Geometry as POSCAR:
```
Cs2PtSeS2
1.0
7.199 0.000 0.000
3.180 6.848 0.000
3.404 1.872 8.874
Cs Pt Se S
4 2 2 4
Direct
0.091 0.188 0.139 Cs
0.338 0.550 0.313 Cs
0.662 0.450 0.687 Cs
0.909 0.812 0.861 Cs
0.408 0.027 0.650 Pt
0.592 0.973 0.350 Pt
0.189 0.339 0.734 Se
0.811 0.661 0.266 Se
0.266 0.962 0.499 S
0.369 0.860 0.893 S
0.631 0.140 0.107 S
0.734 0.038 0.501 S
```

Values from the calculation:
- Total magnetization: 0.01 μB/cell
- Calculated total energy: -46.21 eV for the cell shown

5.
# KIrPb

A geometry-optimized KIrPb structure (PBE, OQMD).

Geometry as POSCAR:
```
KIrPb
1.0
0.000 3.532 3.532
3.532 0.000 3.532
3.532 3.532 0.000
K Ir Pb
1 1 1
Direct
0.000 0.000 0.000 K
0.750 0.750 0.750 Ir
0.250 0.250 0.250 Pb
```

Values from the calculation:
- Total magnetization: 0.01 μB/cell
- Calculated total energy: -9.47 eV for the cell shown

6.
# CsAuBr2Cl

A geometry-optimized CsAuBr2Cl structure (PBE, OQMD).

Geometry as POSCAR:
```
CsAuBr2Cl
1.0
-3.915 3.915 5.668
3.915 -3.915 5.668
3.915 3.915 -5.668
Cs Au Br Cl
2 2 4 2
Direct
0.250 0.750 0.500 Cs
0.750 0.250 0.500 Cs
0.000 0.000 0.000 Au
0.500 0.500 0.000 Au
0.228 0.228 0.455 Br
0.228 0.772 0.000 Br
0.772 0.228 0.000 Br
0.772 0.772 0.545 Br
0.294 0.294 0.000 Cl
0.706 0.706 0.000 Cl
```

Values from the calculation:
- Calculated total energy: -28.09 eV for the cell shown

Q: The highest calculated total energy belongs to which entry?
A: KIrPb

Q: Which formula does entry 3 have?
A: Li2Nb2AlInIr2